# 1
Density functional theory data (PBE) for a geometry-optimized SrAlZn2Ga structure.

Its theoretical density is 4.97 g/cm³. As for the total energy: -2.50 eV/atom.

a b c (Å): 6.2733 6.2733 6.2733
angles (deg): 138.97 138.97 59.42
Positions (direct):
Zn  0.7502  0.2502  0.5000
Zn  0.2502  0.7502  0.5000
Al  0.6191  0.6191  0.0000
Ga  0.3826  0.3826  0.0000
Sr  0.9979  0.9979  0.0000

# 2
Density functional theory data (PBE) for a geometry-optimized SrAl2ZnGa structure.

Its theoretical density is 4.42 g/cm³. As for the total energy: -3.05 eV/atom.

a b c (Å): 6.4661 6.4661 6.4661
angles (deg): 141.53 141.53 55.54
Positions (direct):
Zn  0.3866  0.3866  0.0000
Al  0.2516  0.7516  0.5000
Al  0.7516  0.2516  0.5000
Sr  0.0004  0.0004  0.0000
Ga  0.6099  0.6099  0.0000

# 3
Density functional theory data (PBE) for a geometry-optimized TaAlGa structure.

As for the magnetization: 0.141 μB per formula unit. Its theoretical density is 7.58 g/cm³. As for the total energy: -5.69 eV/atom.

a b c (Å): 4.4137 4.4137 4.4137
angles (deg): 60.00 60.00 60.00
Positions (direct):
Ga  0.7500  0.7500  0.7500
Ta  0.0000  0.0000  0.0000
Al  0.2500  0.2500  0.2500

# 4
Density functional theory data (PBE) for a geometry-optimized Tb2Al3Ga3 structure.

As for the magnetization: 0.001 μB per formula unit. Its theoretical density is 6.43 g/cm³. For the energy above the most stable polymorph in this dataset, the calculation gives 0.5 kJ/mol of atoms.

a b c (Å): 6.2963 4.5516 6.3088
angles (deg): 90.00 119.67 90.00
Positions (direct):
Tb  0.6652  0.5000  0.3349
Tb  0.3329  0.0000  0.6639
Al  0.7099  0.5000  0.8590
Al  0.8554  0.0000  0.1408
Al  0.1452  0.5000  0.8586
Ga  0.8531  0.0000  0.7043
Ga  0.1438  0.5000  0.2960
Ga  0.2946  0.0000  0.1424

# 5
Density functional theory data (PBE) for a geometry-optimized TbAl2Ga structure.

As for the magnetization: 0.001 μB per formula unit. Its theoretical density is 5.96 g/cm³. As for the total energy: -4.26 eV/atom.

a b c (Å): 6.3208 6.3208 4.5659
angles (deg): 90.00 90.00 120.29
Positions (direct):
Ga  0.3523  0.6477  0.2500
Ga  0.6477  0.3523  0.7500
Al  0.7892  0.6481  0.2500
Al  0.3519  0.2108  0.2500
Al  0.6481  0.7892  0.7500
Al  0.2108  0.3519  0.7500
Tb  0.8321  0.1679  0.2500
Tb  0.1679  0.8321  0.7500

# 6
Density functional theory data (PBE) for a geometry-optimized TbAl2Ga structure.

As for the magnetization: 0.001 μB per formula unit. Its theoretical density is 5.98 g/cm³. As for the total energy: -4.26 eV/atom.

a b c (Å): 4.5531 6.3051 6.3051
angles (deg): 60.18 90.00 90.00
Positions (direct):
Ga  0.5000  0.2948  0.8536
Ga  0.5000  0.8536  0.2948
Tb  0.5000  0.3338  0.3338
Tb  0.0000  0.6658  0.6658
Al  0.0000  0.1442  0.7070
Al  0.5000  0.8560  0.8560
Al  0.0000  0.7070  0.1442
Al  0.0000  0.1449  0.1449